Record 1
The following is a DFT calculation (GGA-PBE) of a relaxed structure of AcTh2Os.

The value obtained for the polymorph energy (0 for the lowest one) is 191 meV/atom. As for the formation energy: 0.06 eV/atom. As for the magnetic moment: 0.000 μB/atom. The total energy comes out at -0.550 Ry per atom.

The space group is R-3m (No. 166, hexagonal axes) and the conventional cell measures 4.0454, 4.0454 and 31.9947 Å, with angles of 90.00, 90.00 and 120.00 degrees. The distinct sites, in fractional coordinates, are Ac at (0.0000, 0.0000, 0.0000), Th at (0.0000, 0.0000, 0.1180) and Os at (0.0000, 0.0000, 0.5000).

=====

Record 2
The following is a DFT calculation (GGA-PBE) of a relaxed structure of TbCe2Cu9.

As for the formation energy: -0.14 eV/atom. As for the magnetic moment: 0.077 μB/atom. The total energy comes out at -0.337 Ry per atom.

The space group is R-3m (No. 166, hexagonal axes) and the conventional cell measures 5.1372, 5.1372 and 25.3500 Å, with angles of 90.00, 90.00 and 120.00 degrees. The distinct sites, in fractional coordinates, are Tb at (0.0000, 0.0000, 0.0000), Ce at (0.0000, 0.0000, 0.1463), Cu at (0.0000, 0.0000, 0.3318), Cu at (0.0000, 0.0000, 0.5000) and Cu at (0.0039, 0.5020, 0.0802).

=====

Record 3
The following is a DFT calculation (GGA-PBE) of a relaxed structure of Er5Ag4Pd.

As for the formation energy: -0.45 eV/atom. As for the magnetic moment: 0.000 μB/atom. The total energy comes out at -0.323 Ry per atom.

The space group is P4/mmm (No. 123) and the conventional cell measures 3.557, 3.557 and 18.135 Å, with angles of 90.00, 90.00 and 90.00 degrees. The distinct sites, in fractional coordinates, are Er at (0.000, 0.000, 0.000), Er at (0.000, 0.000, 0.204), Er at (0.000, 0.000, 0.407), Ag at (0.500, 0.500, 0.102), Ag at (0.500, 0.500, 0.304) and Pd at (0.500, 0.500, 0.500).

=====

Record 4
The following is a DFT calculation (GGA-PBE) of a relaxed structure of BeZn2Cd.

The value obtained for the polymorph energy (0 for the lowest one) is 33 meV/atom. As for the formation energy: 0.18 eV/atom. As for the magnetic moment: 0.000 μB/atom. The total energy comes out at -0.119 Ry per atom.

The space group is P4/mmm (No. 123) and the conventional cell measures 2.833, 2.833 and 7.596 Å, with angles of 90.00, 90.00 and 90.00 degrees. The distinct sites, in fractional coordinates, are Be at (0.000, 0.000, 0.000), Zn at (0.500, 0.500, 0.192) and Cd at (0.000, 0.000, 0.500).

=====

Record 5
The following is a DFT calculation (GGA-PBE) of a relaxed structure of TbZrSc5.

As for the formation energy: 0.22 eV/atom. As for the magnetic moment: 0.000 μB/atom. The total energy comes out at -0.454 Ry per atom.

The space group is C2/c (No. 15) and the conventional cell measures 10.258, 11.633 and 6.449 Å, with angles of 90.00, 109.53 and 90.00 degrees. The distinct sites, in fractional coordinates, are Tb at (0.000, 0.153, 0.250), Zr at (0.250, 0.250, 0.000), Sc at (0.000, 0.114, 0.750), Sc at (0.033, 0.369, 0.542) and Sc at (0.246, 0.471, 0.355).

=====

Record 6
The following is a DFT calculation (GGA-PBE) of a relaxed structure of SrLaTl2Pd.

As for the formation energy: 0.35 eV/atom. As for the magnetic moment: 0.000 μB/atom. The total energy comes out at -0.217 Ry per atom.

The space group is P4/mmm (No. 123) and the conventional cell measures 5.905, 5.905 and 5.125 Å, with angles of 90.00, 90.00 and 90.00 degrees. The distinct sites, in fractional coordinates, are Sr at (0.000, 0.000, 0.000), La at (0.500, 0.500, 0.500), Tl at (0.000, 0.500, 0.000) and Pd at (0.000, 0.000, 0.500).

=====

Record 7
The following is a DFT calculation (GGA-PBE) of a relaxed structure of NaSrTc2O8.

As for the magnetic moment: 0.079 μB/atom. As for the formation energy (no corrections): -41.8 kcal/mol of atoms. The total energy comes out at -0.521 Ry per atom.

The space group is I-4m2 (No. 119) and the conventional cell measures 7.687, 7.687 and 6.859 Å, with angles of 90.00, 90.00 and 90.00 degrees. The distinct sites, in fractional coordinates, are Na at (0.000, 0.000, 0.000), Sr at (0.000, 0.500, 0.750), Tc at (0.000, 0.000, 0.500), Tc at (0.000, 0.500, 0.250), O at (0.000, 0.184, 0.653) and O at (0.000, 0.318, 0.093).

=====

Record 8
The following is a DFT calculation (GGA-PBE) of a relaxed structure of KSr3Si.

The value obtained for the polymorph energy (0 for the lowest one) is 0 meV/atom. As for the magnetic moment: 0.000 μB/atom. As for the formation energy (no corrections): -2.1 kcal/mol of atoms. The total energy comes out at -0.177 Ry per atom.

The space group is Pm-3m (No. 221) and the conventional cell measures 6.281, 6.281 and 6.281 Å, with angles of 90.00, 90.00 and 90.00 degrees. The distinct sites, in fractional coordinates, are K at (0.000, 0.000, 0.000), Sr at (0.000, 0.500, 0.500) and Si at (0.500, 0.500, 0.500).

=====

Record 9
The following is a DFT calculation (GGA-PBE) of a relaxed structure of Co2SbS.

As for the magnetic moment: 0.355 μB/atom. As for the formation energy (no corrections): 7.4 kcal/mol of atoms. The total energy comes out at -0.389 Ry per atom.

The space group is Fm-3m (No. 225) and the conventional cell measures 6.137, 6.137 and 6.137 Å, with angles of 90.00, 90.00 and 90.00 degrees. The distinct sites, in fractional coordinates, are Co at (0.250, 0.250, 0.250), Sb at (0.000, 0.000, 0.000) and S at (0.000, 0.000, 0.500).

=====

Record 10
The following is a DFT calculation (GGA-PBE) of a relaxed structure of TlInTeSe.

As for the magnetic moment: 0.000 μB/atom. As for the formation energy (no corrections): -7.6 kcal/mol of atoms. The total energy comes out at -0.240 Ry per atom.

The space group is Cm (No. 8) and the conventional cell measures 7.512, 4.336 and 9.273 Å, with angles of 90.00, 105.61 and 90.00 degrees. The distinct sites, in fractional coordinates, are Tl at (0.000, 0.000, 0.000), In at (0.163, 0.000, 0.488), Te at (0.265, 0.000, 0.794) and Se at (0.288, 0.500, 0.360).

=====

Record 11
The following is a DFT calculation (GGA-PBE) of a relaxed structure of CsTeRu.

As for the magnetic moment: 0.000 μB/atom. As for the formation energy (no corrections): -6.5 kcal/mol of atoms. The total energy comes out at -0.346 Ry per atom.

The space group is P4/nmm (No. 129, origin choice 2) and the conventional cell measures 4.344, 4.344 and 12.072 Å, with angles of 90.00, 90.00 and 90.00 degrees. The distinct sites, in fractional coordinates, are Cs at (0.250, 0.250, 0.202), Te at (0.250, 0.250, 0.619) and Ru at (0.250, 0.750, 0.500).

=====

Record 12
The following is a DFT calculation (GGA-PBE) of a relaxed structure of Li3NdSm4Se8.

As for the magnetic moment: 0.000 μB/atom. As for the formation energy (no corrections): -39.7 kcal/mol of atoms. The total energy comes out at -0.390 Ry per atom.

The space group is R-3m (No. 166, hexagonal axes) and the conventional cell measures 8.2836, 8.2836 and 20.1239 Å, with angles of 90.00, 90.00 and 120.00 degrees. The distinct sites, in fractional coordinates, are Li at (0.0000, 0.5000, 0.0000), Nd at (0.0000, 0.0000, 0.0000), Sm at (0.0000, 0.0000, 0.5000), Sm at (0.0000, 0.5000, 0.5000), Se at (0.0000, 0.0000, 0.2520) and Se at (0.0071, 0.5036, 0.2522).

=====

What is the magnetic moment in the seventh record?
0.079 μB/atom